# PBE La4GaSnN, optimized geometry
data_La4GaSnN
_chemical_formula_sum 'La8 Ga2 Sn2 N2'
_cell_length_a 9.045
_cell_length_b 9.045
_cell_length_c 7.032
_cell_angle_alpha 90.00
_cell_angle_beta 90.00
_cell_angle_gamma 134.35
_space_group_name_H-M_alt 'P 1'
_space_group_IT_number 1
_space_group_name_Hall 'P 1'
loop_
_atom_site_label
_atom_site_type_symbol
_atom_site_fract_x
_atom_site_fract_y
_atom_site_fract_z
La1 La 0.000 0.500 0.000
La2 La 0.000 0.500 0.500
La3 La 0.081 0.919 0.750
La4 La 0.418 0.582 0.750
La5 La 0.500 0.000 0.000
La6 La 0.500 0.000 0.500
La7 La 0.582 0.418 0.250
La8 La 0.919 0.081 0.250
Ga1 Ga 0.117 0.883 0.250
Ga2 Ga 0.883 0.117 0.750
Sn1 Sn 0.391 0.609 0.250
Sn2 Sn 0.609 0.391 0.750
N1 N 0.233 0.767 0.750
N2 N 0.767 0.233 0.250
# Size of the total moment, μB/f.u.: 0.00
# Raw formation energy, eV/atom: -0.80

***

# PBE FeCo3P, optimized geometry
data_FeCo3P
_chemical_formula_sum 'Fe1 Co3 P1'
_cell_length_a 4.244
_cell_length_b 4.244
_cell_length_c 4.244
_cell_angle_alpha 90.00
_cell_angle_beta 90.00
_cell_angle_gamma 90.00
_space_group_name_H-M_alt 'P 1'
_space_group_IT_number 1
_space_group_name_Hall 'P 1'
loop_
_atom_site_label
_atom_site_type_symbol
_atom_site_fract_x
_atom_site_fract_y
_atom_site_fract_z
Fe1 Fe 0.000 0.000 0.000
Co1 Co 0.000 0.000 0.500
Co2 Co 0.000 0.500 0.000
Co3 Co 0.500 0.000 0.000
P1 P 0.500 0.500 0.500
# Size of the total moment, μB/f.u.: 7.41
# Formation enthalpy at 0 K, eV per atom: 1.2786

***

# PBE LiBiPtRh, optimized geometry
data_LiBiPtRh
_chemical_formula_sum 'Li1 Bi1 Pt1 Rh1'
_cell_length_a 4.834
_cell_length_b 4.834
_cell_length_c 4.834
_cell_angle_alpha 128.69
_cell_angle_beta 128.69
_cell_angle_gamma 75.51
_space_group_name_H-M_alt 'P 1'
_space_group_IT_number 1
_space_group_name_Hall 'P 1'
loop_
_atom_site_label
_atom_site_type_symbol
_atom_site_fract_x
_atom_site_fract_y
_atom_site_fract_z
Li1 Li 0.000 0.000 0.000
Bi1 Bi 0.500 0.500 0.000
Pt1 Pt 0.750 0.250 0.500
Rh1 Rh 0.250 0.750 0.500
# Size of the total moment, μB/f.u.: 0.00
# Formation enthalpy at 0 K, eV per atom: -0.3288

***

# PBE LaTmSn, optimized geometry
data_LaTmSn
_chemical_formula_sum 'La2 Tm2 Sn2'
_cell_length_a 4.675
_cell_length_b 4.675
_cell_length_c 8.639
_cell_angle_alpha 90.00
_cell_angle_beta 90.00
_cell_angle_gamma 90.00
_space_group_name_H-M_alt 'P 1'
_space_group_IT_number 1
_space_group_name_Hall 'P 1'
loop_
_atom_site_label
_atom_site_type_symbol
_atom_site_fract_x
_atom_site_fract_y
_atom_site_fract_z
La1 La 0.250 0.250 0.148
La2 La 0.750 0.750 0.852
Tm1 Tm 0.250 0.750 0.500
Tm2 Tm 0.750 0.250 0.500
Sn1 Sn 0.250 0.250 0.754
Sn2 Sn 0.750 0.750 0.246
# Size of the total moment, μB/f.u.: 1.03
# Formation enthalpy at 0 K, eV per atom: -0.6029

***

# PBE NaAg2Sb2, optimized geometry
data_NaAg2Sb2
_chemical_formula_sum 'Na1 Ag2 Sb2'
_cell_length_a 6.879
_cell_length_b 6.879
_cell_length_c 6.879
_cell_angle_alpha 140.28
_cell_angle_beta 140.28
_cell_angle_gamma 57.42
_space_group_name_H-M_alt 'P 1'
_space_group_IT_number 1
_space_group_name_Hall 'P 1'
loop_
_atom_site_label
_atom_site_type_symbol
_atom_site_fract_x
_atom_site_fract_y
_atom_site_fract_z
Na1 Na 0.000 0.000 0.000
Ag1 Ag 0.250 0.750 0.500
Ag2 Ag 0.750 0.250 0.500
Sb1 Sb 0.383 0.383 0.000
Sb2 Sb 0.617 0.617 0.000
# Size of the total moment, μB/f.u.: 0.00
# Raw formation energy, eV/atom: -0.12

***

# PBE Sr5In2Cl12, optimized geometry
data_Sr5In2Cl12
_chemical_formula_sum 'Sr5 In2 Cl12'
_cell_length_a 9.063
_cell_length_b 9.063
_cell_length_c 10.381
_cell_angle_alpha 111.94
_cell_angle_beta 111.94
_cell_angle_gamma 53.78
_space_group_name_H-M_alt 'P 1'
_space_group_IT_number 1
_space_group_name_Hall 'P 1'
loop_
_atom_site_label
_atom_site_type_symbol
_atom_site_fract_x
_atom_site_fract_y
_atom_site_fract_z
Sr1 Sr 0.000 0.000 0.000
Sr2 Sr 0.284 0.284 0.553
Sr3 Sr 0.299 0.299 0.122
Sr4 Sr 0.701 0.701 0.878
Sr5 Sr 0.716 0.716 0.447
In1 In 0.206 0.794 0.500
In2 In 0.794 0.206 0.500
Cl1 Cl 0.063 0.529 0.350
Cl2 Cl 0.085 0.641 0.014
Cl3 Cl 0.097 0.097 0.315
Cl4 Cl 0.359 0.915 0.986
Cl5 Cl 0.471 0.937 0.650
Cl6 Cl 0.486 0.486 0.676
Cl7 Cl 0.514 0.514 0.324
Cl8 Cl 0.529 0.063 0.350
Cl9 Cl 0.641 0.085 0.014
Cl10 Cl 0.903 0.903 0.685
Cl11 Cl 0.915 0.359 0.986
Cl12 Cl 0.937 0.471 0.650
# Size of the total moment, μB/f.u.: 0.00
# Raw formation energy, eV/atom: -2.07

***

# PBE Sc4ZnGa2, optimized geometry
data_Sc4ZnGa2
_chemical_formula_sum 'Sc4 Zn1 Ga2'
_cell_length_a 8.686
_cell_length_b 8.686
_cell_length_c 8.686
_cell_angle_alpha 31.10
_cell_angle_beta 31.10
_cell_angle_gamma 31.10
_space_group_name_H-M_alt 'P 1'
_space_group_IT_number 1
_space_group_name_Hall 'P 1'
loop_
_atom_site_label
_atom_site_type_symbol
_atom_site_fract_x
_atom_site_fract_y
_atom_site_fract_z
Sc1 Sc 0.122 0.122 0.122
Sc2 Sc 0.292 0.292 0.292
Sc3 Sc 0.708 0.708 0.708
Sc4 Sc 0.878 0.878 0.878
Zn1 Zn 0.500 0.500 0.500
Ga1 Ga 0.403 0.403 0.403
Ga2 Ga 0.597 0.597 0.597
# Size of the total moment, μB/f.u.: 0.01
# Formation enthalpy at 0 K, eV per atom: -0.2469

***

# PBE TePt, optimized geometry
data_TePt
_chemical_formula_sum 'Te8 Pt8'
_cell_length_a 5.761
_cell_length_b 7.732
_cell_length_c 8.218
_cell_angle_alpha 90.00
_cell_angle_beta 90.00
_cell_angle_gamma 90.00
_space_group_name_H-M_alt 'P 1'
_space_group_IT_number 1
_space_group_name_Hall 'P 1'
loop_
_atom_site_label
_atom_site_type_symbol
_atom_site_fract_x
_atom_site_fract_y
_atom_site_fract_z
Te1 Te 0.126 0.076 0.039
Te2 Te 0.131 0.649 0.863
Te3 Te 0.369 0.351 0.363
Te4 Te 0.374 0.924 0.539
Te5 Te 0.626 0.424 0.961
Te6 Te 0.631 0.851 0.137
Te7 Te 0.869 0.149 0.637
Te8 Te 0.874 0.576 0.461
Pt1 Pt 0.036 0.842 0.301
Pt2 Pt 0.185 0.403 0.648
Pt3 Pt 0.315 0.597 0.148
Pt4 Pt 0.464 0.158 0.801
Pt5 Pt 0.536 0.658 0.699
Pt6 Pt 0.685 0.097 0.352
Pt7 Pt 0.815 0.903 0.852
Pt8 Pt 0.964 0.342 0.199
# Size of the total moment, μB/f.u.: 0.00
# Raw formation energy, eV/atom: -0.20

***

Number 1: final energy -5.81 eV/atom. Number 2: final energy -5.76 eV/atom. Number 3: final energy -5.13 eV/atom. Number 4: final energy -5.07 eV/atom. Number 5: final energy -3.17 eV/atom. Number 6: final energy -3.97 eV/atom. Number 7: final energy -4.91 eV/atom. Number 8: final energy -4.79 eV/atom.